First-principles (GGA+U) data for an optimized crystal structure of Li2MnSiO5, as listed in Alexandria.

a = 6.3774 Å, b = 6.3774 Å, c = 4.4887 Å
α = 90.00°, β = 90.00°, γ = 90.00°
Positions (direct):
Li  0.0000  0.0000  0.0000
Li  0.0000  0.5000  0.0000
Li  0.5000  0.0000  0.0000
Li  0.5000  0.5000  0.0000
Mn  0.2500  0.2500  0.3810
Mn  0.7500  0.7500  0.6190
Si  0.2500  0.7500  0.5000
Si  0.7500  0.2500  0.5000
O  0.0437  0.7500  0.7193
O  0.2500  0.2500  0.7725
O  0.2500  0.5437  0.2807
O  0.2500  0.9563  0.2807
O  0.4563  0.7500  0.7193
O  0.5437  0.2500  0.2807
O  0.7500  0.0437  0.7193
O  0.7500  0.4563  0.7193
O  0.7500  0.7500  0.2275
O  0.9563  0.2500  0.2807

Calculated volume, Å³ per cell: 182.6
SG: P4/nmm, No. 129
Electronic total energy, eV for the cell shown: -120.17